[1]
Computed, not measured: a relaxed structure of CsZnCdHg2 at the GGA-PBE level of DFT. Values from VASP.

Properties
Final energy   -0.75 eV per atom
ΔE to the lowest computed polymorph   53 meV/atom
M_tot   0.0 Bohr magnetons per cell
E_form   -16.9 meV per atom

```
&SYSTEM
  ibrav = 0, nat = 5, ntyp = 4
/
ATOMIC_SPECIES
Cs 132.91 Cs.upf
Zn 65.41 Zn.upf
Cd 112.41 Cd.upf
Hg 200.59 Hg.upf
CELL_PARAMETERS angstrom
5.815 0.000 0.000
0.000 5.815 0.000
0.000 0.000 5.338
ATOMIC_POSITIONS crystal
Cs 0.000 0.000 0.000
Zn 0.500 0.500 0.000
Cd 0.500 0.500 0.500
Hg 0.000 0.500 0.500
Hg 0.500 0.000 0.500
```


[2]
Computed, not measured: a relaxed structure of CsZnCdHg2 at the GGA-PBE level of DFT. Values from VASP.

Properties
Final energy   -0.80 eV per atom
ΔE to the lowest computed polymorph   0 meV/atom
M_tot   0.0 Bohr magnetons per cell
E_form   -70.0 meV per atom

```
&SYSTEM
  ibrav = 0, nat = 5, ntyp = 4
/
ATOMIC_SPECIES
Cs 132.91 Cs.upf
Zn 65.41 Zn.upf
Cd 112.41 Cd.upf
Hg 200.59 Hg.upf
CELL_PARAMETERS angstrom
5.572 0.000 0.000
0.000 5.572 0.000
0.000 0.000 5.347
ATOMIC_POSITIONS crystal
Cs 0.000 0.000 0.000
Zn 0.500 0.500 0.500
Cd 0.500 0.500 0.000
Hg 0.000 0.500 0.500
Hg 0.500 0.000 0.500
```


[3]
Computed, not measured: a relaxed structure of CsHoCd2 at the GGA-PBE level of DFT. Values from VASP.

Properties
Final energy   -1.87 eV per atom
M_tot   0.0 Bohr magnetons per cell
E_form   -49.8 meV per atom

```
&SYSTEM
  ibrav = 0, nat = 4, ntyp = 3
/
ATOMIC_SPECIES
Cs 132.91 Cs.upf
Ho 164.93 Ho.upf
Cd 112.41 Cd.upf
CELL_PARAMETERS angstrom
3.868 0.000 0.000
0.000 3.868 0.000
0.000 0.000 9.147
ATOMIC_POSITIONS crystal
Cs 0.000 0.000 0.000
Ho 0.000 0.000 0.500
Cd 0.500 0.500 0.318
Cd 0.500 0.500 0.682
```


[4]
Computed, not measured: a relaxed structure of CsHoCd at the GGA-PBE level of DFT. Values from VASP.

Properties
Final energy   -1.82 eV per atom
M_tot   0.0 Bohr magnetons per cell
E_form   298.3 meV per atom

```
&SYSTEM
  ibrav = 0, nat = 6, ntyp = 3
/
ATOMIC_SPECIES
Cs 132.91 Cs.upf
Ho 164.93 Ho.upf
Cd 112.41 Cd.upf
CELL_PARAMETERS angstrom
18.136 0.000 0.000
0.000 1.977 3.424
0.000 -1.977 3.424
ATOMIC_POSITIONS crystal
Cs 0.174 0.000 0.000
Cs 0.826 0.000 0.000
Ho 0.382 0.664 0.664
Ho 0.618 0.664 0.664
Cd 0.000 0.667 0.667
Cd 0.500 0.997 0.997
```


[5]
Computed, not measured: a relaxed structure of CsHoCdS3 at the GGA-PBE level of DFT. Values from VASP.

Properties
Final energy   -4.53 eV per atom
Formation energy without anion corrections   -1.41 eV/atom
M_tot   0.0 Bohr magnetons per cell

```
&SYSTEM
  ibrav = 0, nat = 12, ntyp = 4
/
ATOMIC_SPECIES
Cs 132.91 Cs.upf
Ho 164.93 Ho.upf
Cd 112.41 Cd.upf
S 32.06 S.upf
CELL_PARAMETERS angstrom
9.219 0.000 0.000
0.000 4.154 0.000
-3.672 0.000 9.598
ATOMIC_POSITIONS crystal
Cs 0.222 0.250 0.240
Cs 0.778 0.750 0.760
Ho 0.333 0.750 0.869
Ho 0.667 0.250 0.131
Cd 0.085 0.250 0.615
Cd 0.915 0.750 0.385
S 0.130 0.250 0.869
S 0.214 0.750 0.555
S 0.477 0.750 0.144
S 0.523 0.250 0.856
S 0.786 0.250 0.445
S 0.870 0.750 0.131
```


[6]
Computed, not measured: a relaxed structure of Cs3Ho2CdTe6 at the GGA-PBE level of DFT. Values from VASP.

Properties
Final energy   -3.67 eV per atom
Formation energy without anion corrections   -1.05 eV/atom
M_tot   0.0 Bohr magnetons per cell

```
&SYSTEM
  ibrav = 0, nat = 12, ntyp = 4
/
ATOMIC_SPECIES
Cs 132.91 Cs.upf
Ho 164.93 Ho.upf
Cd 112.41 Cd.upf
Te 127.60 Te.upf
CELL_PARAMETERS angstrom
3.910 -6.769 0.000
3.910 6.769 0.000
-2.602 0.000 8.991
ATOMIC_POSITIONS crystal
Cs 0.000 0.000 0.000
Cs 0.334 0.666 0.000
Cs 0.666 0.334 0.000
Ho 0.167 0.833 0.500
Ho 0.833 0.167 0.500
Cd 0.500 0.500 0.500
Te 0.102 0.437 0.312
Te 0.227 0.227 0.688
Te 0.437 0.102 0.312
Te 0.563 0.898 0.688
Te 0.773 0.773 0.312
Te 0.898 0.563 0.688
```


[7]
Computed, not measured: a relaxed structure of Cs2HoCd2Te4 at the GGA-PBE level of DFT. Values from VASP.

Properties
Final energy   -3.19 eV per atom
Formation energy without anion corrections   -0.89 eV/atom
M_tot   0.0 Bohr magnetons per cell

```
&SYSTEM
  ibrav = 0, nat = 9, ntyp = 4
/
ATOMIC_SPECIES
Cs 132.91 Cs.upf
Ho 164.93 Ho.upf
Cd 112.41 Cd.upf
Te 127.60 Te.upf
CELL_PARAMETERS angstrom
8.925 -2.266 0.000
8.925 2.266 0.000
-3.538 0.000 8.579
ATOMIC_POSITIONS crystal
Cs 0.128 0.128 0.069
Cs 0.872 0.872 0.931
Ho 0.000 0.000 0.500
Cd 0.313 0.313 0.497
Cd 0.687 0.687 0.503
Te 0.184 0.184 0.704
Te 0.479 0.479 0.715
Te 0.521 0.521 0.285
Te 0.816 0.816 0.296
```


[8]
Computed, not measured: a relaxed structure of CsHoCdTe3 at the GGA-PBE level of DFT. Values from VASP.

Properties
Final energy   -3.72 eV per atom
Formation energy without anion corrections   -1.09 eV/atom
M_tot   0.0 Bohr magnetons per cell

```
&SYSTEM
  ibrav = 0, nat = 12, ntyp = 4
/
ATOMIC_SPECIES
Cs 132.91 Cs.upf
Ho 164.93 Ho.upf
Cd 112.41 Cd.upf
Te 127.60 Te.upf
CELL_PARAMETERS angstrom
2.267 -8.671 0.000
2.267 8.671 0.000
0.000 0.000 11.847
ATOMIC_POSITIONS crystal
Cs 0.249 0.751 0.750
Cs 0.751 0.249 0.250
Ho 0.000 0.000 0.000
Ho 0.000 0.000 0.500
Cd 0.462 0.538 0.250
Cd 0.538 0.462 0.750
Te 0.065 0.935 0.250
Te 0.380 0.620 0.045
Te 0.380 0.620 0.455
Te 0.620 0.380 0.545
Te 0.620 0.380 0.955
Te 0.935 0.065 0.750
```